1.
# Cs2LiGe

Cs2LiGe after structural relaxation (PBE-GGA, Alexandria via LeMat-Bulk).

a = 6.416 Å, b = 6.416 Å, c = 6.416 Å
α = 60.00°, β = 60.00°, γ = 60.00°
Site moments in Bohr magnetons follow the coordinates.
Fractional coordinates of all 4 atoms:
Cs 0.750 0.750 0.750  0.02
Li 0.000 0.000 0.000  -0.07
Ge 0.500 0.500 0.500  0.48
Cs 0.250 0.250 0.250  0.02

VASP energy: -1.716 eV per atom
Crystal system: cubic
Polymorph energy (0 for the lowest one): 0.000 eV/atom
Formation energy from the elements: 1.37 eV/f.u.
D(E_F): 3.81 states/eV/cell


2.
# CsLi2Ge2

CsLi2Ge2 after structural relaxation (PBE-GGA, Alexandria via LeMat-Bulk).

a = 5.220 Å, b = 5.220 Å, c = 6.108 Å
α = 64.71°, β = 64.71°, γ = 90.00°
Fractional coordinates of all 5 atoms:
Li 0.750 0.250 0.500
Ge 0.379 0.379 0.242
Cs 0.000 0.000 0.000
Ge 0.621 0.621 0.758
Li 0.250 0.750 0.500

VASP energy: -2.891 eV per atom
Crystal system: tetragonal
Polymorph energy (0 for the lowest one): 0.000 eV/atom
Formation energy from the elements: -0.54 eV/f.u.
D(E_F): 1.88 states/eV/cell


3.
# CsLiGe

CsLiGe after structural relaxation (PBE-GGA, Alexandria via LeMat-Bulk).

a = 4.645 Å, b = 4.645 Å, c = 12.530 Å
α = 90.76°, β = 91.14°, γ = 60.01°
Fractional coordinates of all 6 atoms:
Cs 0.319 0.830 0.705
Ge 0.995 0.499 0.905
Li 0.666 0.166 0.981
Li 0.334 0.834 0.019
Ge 0.005 0.501 0.095
Cs 0.681 0.170 0.295

VASP energy: -2.678 eV per atom
Crystal system: triclinic
Polymorph energy (0 for the lowest one): 0.000 eV/atom
Formation energy from the elements: -0.65 eV/f.u.
D(E_F): 0.87 states/eV/cell


4.
# CsLiGe

CsLiGe after structural relaxation (PBE-GGA, Alexandria via LeMat-Bulk).

a = 4.333 Å, b = 4.078 Å, c = 13.021 Å
α = 90.00°, β = 99.58°, γ = 90.00°
Fractional coordinates of all 6 atoms:
Ge 0.533 0.250 0.066
Ge 0.467 0.750 0.934
Cs 0.156 0.250 0.312
Li 0.032 0.750 0.064
Li 0.968 0.250 0.936
Cs 0.844 0.750 0.688

VASP energy: -2.574 eV per atom
Crystal system: orthorhombic
Polymorph energy (0 for the lowest one): 0.104 eV/atom
Formation energy from the elements: -0.34 eV/f.u.
D(E_F): 2.14 states/eV/cell


5.
# CsLi2Ge2

CsLi2Ge2 after structural relaxation (PBE-GGA, Alexandria via LeMat-Bulk).

a = 8.593 Å, b = 8.593 Å, c = 3.445 Å
α = 90.00°, β = 90.00°, γ = 90.00°
Fractional coordinates of all 10 atoms:
Li 0.141 0.359 0.000
Ge 0.606 0.894 0.500
Cs 0.000 0.000 0.000
Ge 0.106 0.606 0.500
Cs 0.500 0.500 0.000
Ge 0.394 0.106 0.500
Li 0.359 0.859 0.000
Li 0.859 0.641 0.000
Li 0.641 0.141 0.000
Ge 0.894 0.394 0.500

VASP energy: -2.811 eV per atom
Crystal system: tetragonal
Polymorph energy (0 for the lowest one): 0.080 eV/atom
Formation energy from the elements: -0.14 eV/f.u.
D(E_F): 3.62 states/eV/cell


6.
# CsLiGe2

CsLiGe2 after structural relaxation (PBE-GGA, Alexandria via LeMat-Bulk).

a = 5.422 Å, b = 5.422 Å, c = 5.422 Å
α = 60.00°, β = 60.00°, γ = 60.00°
Fractional coordinates of all 4 atoms:
Li 0.000 0.000 0.000
Cs 0.500 0.500 0.500
Ge 0.750 0.750 0.750
Ge 0.250 0.250 0.250

VASP energy: -2.518 eV per atom
Crystal system: cubic
Polymorph energy (0 for the lowest one): 0.417 eV/atom
Formation energy from the elements: 1.93 eV/f.u.
D(E_F): 0.93 states/eV/cell


7.
# CsLiGe2

CsLiGe2 after structural relaxation (PBE-GGA, Alexandria via LeMat-Bulk).

a = 5.219 Å, b = 5.219 Å, c = 10.437 Å
α = 75.52°, β = 75.52°, γ = 90.00°
Fractional coordinates of all 8 atoms:
Cs 0.750 0.250 0.500
Ge 0.375 0.625 0.750
Li 0.500 0.500 0.000
Ge 0.875 0.625 0.750
Ge 0.375 0.625 0.250
Li 0.250 0.750 0.500
Ge 0.375 0.125 0.250
Cs 0.000 0.000 0.000

VASP energy: -2.935 eV per atom
Crystal system: tetragonal
Polymorph energy (0 for the lowest one): 0.000 eV/atom
Formation energy from the elements: 0.26 eV/f.u.
D(E_F): 3.31 states/eV/cell


8.
# Cs2LiMgGe

Cs2LiMgGe after structural relaxation (PBE-GGA, Alexandria via LeMat-Bulk).

a = 7.128 Å, b = 5.126 Å, c = 7.128 Å
α = 90.00°, β = 90.00°, γ = 90.00°
Fractional coordinates of all 5 atoms:
Li 0.000 0.500 0.000
Ge 0.000 0.000 0.000
Mg 0.500 0.500 0.500
Cs 0.000 0.000 0.500
Cs 0.500 0.000 0.000

VASP energy: -1.699 eV per atom
Crystal system: tetragonal
Formation energy from the elements: 1.34 eV/f.u.
D(E_F): 3.71 states/eV/cell


9.
# CsNaLi2Ge

CsNaLi2Ge after structural relaxation (PBE-GGA, Alexandria via LeMat-Bulk).

a = 5.261 Å, b = 5.261 Å, c = 5.735 Å
α = 90.00°, β = 90.00°, γ = 90.00°
Fractional coordinates of all 5 atoms:
Li 0.500 0.000 0.000
Li 0.000 0.500 0.000
Na 0.000 0.000 0.500
Cs 0.500 0.500 0.500
Ge 0.000 0.000 0.000

VASP energy: -2.232 eV per atom
Crystal system: tetragonal
Formation energy from the elements: -0.54 eV/f.u.
D(E_F): 0.17 states/eV/cell


10.
# CsNa3Li12Ge4O16

CsNa3Li12Ge4O16 after structural relaxation (PBE-GGA, Alexandria via LeMat-Bulk).

a = 8.654 Å, b = 8.654 Å, c = 8.654 Å
α = 98.26°, β = 98.26°, γ = 135.44°
Fractional coordinates of all 36 atoms:
Ge 0.781 0.580 0.361
Ge 0.219 0.420 0.639
O 0.320 0.902 0.222
Na 0.500 0.500 0.000
Li 0.643 0.511 0.665
Li 0.357 0.489 0.335
Ge 0.580 0.219 0.800
Li 0.511 0.846 0.868
Li 0.154 0.022 0.665
Li 0.022 0.357 0.868
Li 0.078 0.716 0.793
O 0.098 0.320 0.418
O 0.363 0.081 0.894
O 0.637 0.919 0.106
O 0.468 0.363 0.282
O 0.432 0.161 0.594
O 0.902 0.680 0.582
Li 0.978 0.643 0.132
Li 0.489 0.154 0.132
Na 0.250 0.750 0.500
Ge 0.420 0.781 0.200
Li 0.716 0.922 0.638
O 0.680 0.098 0.778
Li 0.846 0.978 0.335
Li 0.922 0.284 0.207
O 0.568 0.839 0.406
Li 0.284 0.078 0.362
O 0.161 0.568 0.729
O 0.187 0.468 0.106
O 0.532 0.637 0.718
O 0.919 0.813 0.282
O 0.813 0.532 0.894
Cs 0.000 0.000 0.000
Na 0.750 0.250 0.500
O 0.081 0.187 0.718
O 0.839 0.432 0.271

VASP energy: -5.403 eV per atom
Crystal system: tetragonal
D(E_F): 0.00 states/eV/cell
Uncorrected formation energy: -1.915 eV per atom


11.
# Cs2Li2GeO4

Cs2Li2GeO4 after structural relaxation (PBE-GGA, Alexandria via LeMat-Bulk).

a = 5.741 Å, b = 5.894 Å, c = 9.666 Å
α = 84.56°, β = 76.65°, γ = 86.56°
Fractional coordinates of all 18 atoms:
O 0.097 0.138 0.601
Cs 0.486 0.855 0.707
Cs 0.785 0.734 0.012
O 0.265 0.799 0.122
Ge 0.864 0.318 0.704
Ge 0.136 0.682 0.296
O 0.735 0.201 0.878
O 0.647 0.360 0.593
Li 0.306 0.413 0.580
Cs 0.215 0.266 0.988
O 0.903 0.862 0.399
Li 0.933 0.186 0.440
Cs 0.514 0.145 0.293
O 0.019 0.570 0.711
Li 0.067 0.814 0.560
Li 0.694 0.587 0.420
O 0.353 0.640 0.407
O 0.981 0.430 0.289

VASP energy: -5.134 eV per atom
Crystal system: triclinic
D(E_F): 0.00 states/eV/cell
Uncorrected formation energy: -1.803 eV per atom


12.
# CsLiGe2P

CsLiGe2P after structural relaxation (PBE-GGA, Alexandria via LeMat-Bulk).

a = 4.989 Å, b = 6.457 Å, c = 4.989 Å
α = 90.00°, β = 90.00°, γ = 90.00°
Fractional coordinates of all 5 atoms:
Li 0.500 0.500 0.500
Cs 0.000 0.500 0.000
P 0.000 0.000 0.000
Ge 0.000 0.000 0.500
Ge 0.500 0.000 0.000

VASP energy: -2.977 eV per atom
Crystal system: tetragonal
Formation energy from the elements: 2.53 eV/f.u.
D(E_F): 5.37 states/eV/cell


Question: Among the records above, which one has the lowest VASP energy?
Answer: CsNa3Li12Ge4O16


Question: What is the D(E_F) in the eighth record?
Answer: 3.71 states/eV/cell